No. 1
Computed, not measured: a geometry-optimized Tb3YHo structure at the PBE level of DFT.

Summary:
ΔH_f (0 K): 0.31 eV per atom
calculated total energy: -4.67 eV/atom
energy above the most stable polymorph in this dataset: 295.1 meV/atom
space group: Cmcm (63)

Cell: 3.6070 8.5442 11.5481 Å, 90.00 90.00 102.16°
Fractional coordinates of all 10 atoms:
Tb: 0.8477 0.1956 0.0005
Tb: 0.1523 0.8044 0.9995
Tb: 0.8477 0.1956 0.4995
Tb: 0.1523 0.8044 0.5005
Tb: 0.6801 0.8598 0.2500
Tb: 0.3199 0.1402 0.7500
Y: 0.0072 0.5144 0.2500
Y: 0.9928 0.4856 0.7500
Ho: 0.3385 0.1770 0.2500
Ho: 0.6615 0.8230 0.7500



No. 2
Computed, not measured: a geometry-optimized V12Ge3Ru structure at the PBE level of DFT.

Summary:
ΔH_f (0 K): -0.32 eV per atom
calculated total energy: -8.61 eV/atom
space group: Pmmm (47)

Cell: 4.7632 4.7523 9.5330 Å, 90.00 90.00 90.00°
Fractional coordinates of all 16 atoms:
V: 0.5000 0.0000 0.3798
V: 0.5000 0.0000 0.8708
V: 0.7453 0.5000 0.0000
V: 0.7516 0.5000 0.5000
V: 0.0000 0.7519 0.2517
V: 0.0000 0.7519 0.7483
V: 0.5000 0.0000 0.1292
V: 0.5000 0.0000 0.6202
V: 0.2547 0.5000 0.0000
V: 0.2484 0.5000 0.5000
V: 0.0000 0.2481 0.2517
V: 0.0000 0.2481 0.7483
Ge: 0.5000 0.5000 0.2483
Ge: 0.5000 0.5000 0.7517
Ge: 0.0000 0.0000 0.0000
Ru: 0.0000 0.0000 0.5000



No. 3
Computed, not measured: a geometry-optimized Pm8AsIr3Br4 structure at the PBE level of DFT.

Summary:
calculated total energy: -5.89 eV/atom
space group: R-3m (166)

Cell: 8.4055 9.0383 8.4053 Å, 117.72 120.00 90.00°
Fractional coordinates of all 16 atoms:
Pm: 0.2400 0.6973 0.9574
Pm: 0.2400 0.6973 0.4799
Pm: 0.2682 0.3047 0.5364
Pm: 0.7174 0.6973 0.9574
Pm: 0.2826 0.3027 0.0426
Pm: 0.7318 0.6953 0.4636
Pm: 0.7600 0.3027 0.5201
Pm: 0.7600 0.3027 0.0426
As: 0.0000 0.5000 0.0000
Ir: 0.5000 0.5000 0.0000
Ir: 0.5000 0.5000 0.5000
Ir: 0.0000 0.5000 0.5000
Br: 0.5000 0.0000 0.0000
Br: 0.5000 0.0000 0.5000
Br: 0.0000 0.0000 0.0000
Br: 0.0000 0.0000 0.5000



No. 4
Computed, not measured: a geometry-optimized BaYHg3 structure at the PBE level of DFT.

Summary:
ΔH_f (0 K): 0.52 eV per atom
calculated total energy: -1.34 eV/atom
energy above the most stable polymorph in this dataset: 643.8 meV/atom
space group: Pm-3m (221)

Cell: 5.9973 5.9973 5.9973 Å, 90.00 90.00 90.00°
Fractional coordinates of all 5 atoms:
Y: 0.5000 0.5000 0.5000
Hg: 0.0000 0.5000 0.0000
Hg: 0.0000 0.0000 0.5000
Hg: 0.5000 0.0000 0.0000
Ba: 0.0000 0.0000 0.0000



No. 5
Computed, not measured: a geometry-optimized BaTaRh2 structure at the PBE level of DFT.

Summary:
ΔH_f (0 K): 0.15 eV per atom
calculated total energy: -6.97 eV/atom
energy above the most stable polymorph in this dataset: 388.2 meV/atom
space group: Pmm2 (25)

Cell: 3.2837 3.7800 7.4566 Å, 90.00 90.00 90.00°
Fractional coordinates of all 4 atoms:
Ba: 0.5000 0.5000 0.7807
Ta: 0.0000 0.0000 0.3797
Rh: 0.0000 0.0000 0.0620
Rh: 0.5000 0.5000 0.2776



No. 6
Computed, not measured: a geometry-optimized Pu2Ga6Rh structure at the PBE level of DFT.

Summary:
ΔH_f (0 K): -0.47 eV per atom
calculated total energy: -6.49 eV/atom
space group: P-3m1 (164)

Cell: 5.4943 5.9707 5.9707 Å, 60.00 90.01 90.01°
Site moments in Bohr magnetons follow the coordinates.
Fractional coordinates of all 9 atoms:
Pu: 0.8113 0.6667 0.6667  5.30
Pu: 0.1887 0.3333 0.3333  5.30
Ga: 0.3129 0.3524 0.8238  0.01
Ga: 0.3130 0.8238 0.8238  0.01
Ga: 0.3129 0.8238 0.3524  0.01
Ga: 0.6871 0.6476 0.1762  0.01
Ga: 0.6870 0.1762 0.1762  0.01
Ga: 0.6871 0.1762 0.6476  0.01
Rh: 0.0000 0.0000 0.0000  0.02



No. 7
Computed, not measured: a geometry-optimized RhSe2Br structure at the PBE level of DFT.

Summary:
calculated total energy: -3.52 eV/atom
energy above the most stable polymorph in this dataset: 793.7 meV/atom
space group: P4/mmm (123)

Cell: 3.6962 3.7003 7.3091 Å, 90.00 90.00 90.00°
Site moments in Bohr magnetons follow the coordinates.
Fractional coordinates of all 4 atoms:
Br: 0.5000 0.0000 0.5000  0.09
Rh: 0.0000 0.5000 0.5000  1.01
Se: 0.0000 0.0000 0.0000  0.01
Se: 0.5000 0.5000 0.0000  0.01



No. 8
Computed, not measured: a geometry-optimized TlOs3 structure at the PBE level of DFT.

Summary:
ΔH_f (0 K): 0.84 eV per atom
calculated total energy: -8.18 eV/atom
energy above the most stable polymorph in this dataset: 165.0 meV/atom
space group: Imm2 (44)

Cell: 5.4322 5.4322 5.4322 Å, 149.62 126.52 62.76°
Fractional coordinates of all 4 atoms:
Os: 0.9899 0.9802 0.0097
Os: 0.5295 0.5198 0.0097
Os: 0.9169 0.2500 0.6669
Tl: 0.3971 0.7500 0.6471



No. 9
Computed, not measured: a geometry-optimized K2AcBiO6 structure at the PBE level of DFT.

Summary:
calculated total energy: -5.50 eV/atom
space group: R-3 (148)

Cell: 6.4260 6.4256 6.4015 Å, 59.87 59.87 60.00°
Site moments in Bohr magnetons follow the coordinates.
Fractional coordinates of all 10 atoms:
K: 0.5644 0.5645 0.3068  0.00
K: 0.0680 0.0678 0.7963  0.00
Ac: 0.8162 0.8162 0.5515  0.01
Bi: 0.3162 0.3162 0.0515  -0.04
O: 0.5469 0.1257 0.2866  0.28
O: 0.1254 0.0411 0.2863  0.28
O: 0.0408 0.5475 0.2859  0.28
O: 0.5069 0.5913 0.8167  0.28
O: 0.5915 0.0848 0.8171  0.28
O: 0.0854 0.5066 0.8165  0.28



No. 10
Computed, not measured: a geometry-optimized SrNi2Sb structure at the PBE level of DFT.

Summary:
calculated total energy: -4.09 eV/atom
space group: F-43m (216)

Cell: 4.8398 4.8398 4.8398 Å, 60.00 60.00 60.00°
Fractional coordinates of all 4 atoms:
Ni: 0.0000 0.0000 0.0000
Ni: 0.2500 0.2500 0.2500
Sb: 0.5000 0.5000 0.5000
Sr: 0.7500 0.7500 0.7500



No. 11
Computed, not measured: a geometry-optimized Cs2HfCu2Se4 structure at the PBE level of DFT.

Summary:
calculated total energy: -4.71 eV/atom
space group: C2/m (12)

Cell: 4.0302 8.4228 7.6705 Å, 106.77 105.23 90.00°
Fractional coordinates of all 9 atoms:
Cs: 0.1384 0.5676 0.2768
Cs: 0.8616 0.4324 0.7232
Hf: 0.0000 0.0000 0.0000
Cu: 0.6824 0.9863 0.3647
Cu: 0.3176 0.0137 0.6353
Se: 0.1884 0.1608 0.3769
Se: 0.8116 0.8392 0.6231
Se: 0.5191 0.7918 0.0382
Se: 0.4809 0.2082 0.9618



No. 12
Computed, not measured: a geometry-optimized RhPbSe2O6 structure at the PBE level of DFT.

Summary:
calculated total energy: -5.38 eV/atom
space group: R-3 (148)

Cell: 5.3989 5.3989 6.7441 Å, 66.40 66.40 60.00°
Site moments in Bohr magnetons follow the coordinates.
Fractional coordinates of all 10 atoms:
Rh: 0.5000 0.5000 0.5000  0.64
Pb: 0.0000 0.0000 0.0000  0.04
Se: 0.7291 0.7291 0.8128  0.04
Se: 0.2709 0.2709 0.1872  0.04
O: 0.0844 0.4766 0.7087  0.01
O: 0.7303 0.0844 0.7087  0.01
O: 0.5234 0.2697 0.2913  0.01
O: 0.9156 0.5234 0.2913  0.01
O: 0.2697 0.9156 0.2913  0.01
O: 0.4766 0.7303 0.7087  0.01



No. 13
Computed, not measured: a geometry-optimized TcPdPbBr2 structure at the PBE level of DFT.

Summary:
calculated total energy: -3.89 eV/atom
space group: P4/mmm (123)

Cell: 4.9442 5.6324 4.9442 Å, 90.00 90.00 90.00°
Site moments in Bohr magnetons follow the coordinates.
Fractional coordinates of all 5 atoms:
Pb: 0.0000 0.5000 0.0000  -0.08
Br: 0.0000 0.0000 0.5000  0.04
Br: 0.5000 0.0000 0.0000  0.12
Tc: 0.0000 0.0000 0.0000  1.66
Pd: 0.5000 0.5000 0.5000  -0.13